First-principles (GGA-PBE) data for an optimized crystal structure of CaZr3Si, as listed in the Alexandria database.

Lattice parameters (Å, degrees): 4.9773 4.9773 4.9773 90.00 90.00 90.00
Sites, in units of the cell vectors:
Ca (0.0000, 0.0000, 0.0000)
Si (0.5000, 0.5000, 0.5000)
Zr (0.0000, 0.5000, 0.0000)
Zr (0.0000, 0.0000, 0.5000)
Zr (0.5000, 0.0000, 0.0000)

Output
Total magnetization in μB per formula unit: 0.01
Raw formation energy in eV per atom: 1.71